1.
Below is a relaxed structure of LuAlCoAu, with properties calculated at the PBE level.

```
LuAlCoAu
1.0
0.000 3.241 3.241
3.241 0.000 3.241
3.241 3.241 0.000
Au Lu Co Al
1 1 1 1
Cartesian
1.620 1.620 1.620 Au
3.241 3.241 3.241 Lu
4.861 4.861 4.861 Co
0.000 0.000 0.000 Al
```

Computed properties:
The symmetry is F-43m, No. 216. The total magnetic moment comes out at 0.25 μB/atom.

=====

2.
Below is a relaxed structure of CoTc2Bi, with properties calculated at the PBE level.

```
CoTc2Bi
1.0
0.000 3.176 3.176
3.176 0.000 3.176
3.176 3.176 0.000
Co Bi Tc
1 1 2
Cartesian
1.588 1.588 1.588 Co
3.176 3.176 3.176 Bi
4.764 4.764 4.764 Tc
0.000 0.000 0.000 Tc
```

Computed properties:
The symmetry is F-43m, No. 216. The total magnetic moment comes out at 0.72 μB/atom.

=====

3.
Below is a relaxed structure of TaBeFeSb, with properties calculated at the PBE level.

```
TaBeFeSb
1.0
0.000 3.079 3.079
3.079 0.000 3.079
3.079 3.079 0.000
Sb Be Ta Fe
1 1 1 1
Cartesian
0.000 0.000 0.000 Sb
1.540 1.540 1.540 Be
3.079 3.079 3.079 Ta
4.619 4.619 4.619 Fe
```

Computed properties:
The symmetry is F-43m, No. 216. The total magnetic moment comes out at 0.31 μB/atom.

=====

4.
Below is a relaxed structure of Sc4AlCoC2, with properties calculated at the PBE level.

```
Sc4AlCoC2
1.0
3.279 0.000 0.000
-1.639 2.839 0.000
0.000 0.000 14.046
Sc C Al Co
4 2 1 1
Cartesian
0.000 0.000 8.985 Sc
0.000 0.000 5.061 Sc
1.639 0.946 2.566 Sc
1.639 0.946 11.480 Sc
0.000 1.893 3.781 C
0.000 1.893 10.265 C
0.000 0.000 0.000 Al
1.639 0.946 7.023 Co
```

Computed properties:
The symmetry is P-6m2, No. 187. The total magnetic moment comes out at 0.06 μB/atom.

=====

5.
Below is a relaxed structure of RbMgOs, with properties calculated at the PBE level.

```
RbMgOs
1.0
0.000 3.480 3.480
3.480 0.000 3.480
3.480 3.480 0.000
Os Mg Rb
1 1 1
Cartesian
0.000 0.000 0.000 Os
1.740 1.740 1.740 Mg
5.221 5.221 5.221 Rb
```

Computed properties:
The symmetry is F-43m, No. 216. The total magnetic moment comes out at 0.33 μB/atom.

=====

6.
Below is a relaxed structure of HfCoSiTc, with properties calculated at the PBE level.

```
HfCoSiTc
1.0
-1.515 2.224 3.353
-4.155 -0.283 1.067
-1.161 -2.054 3.594
Tc Co Hf Si
1 1 1 1
Cartesian
-1.708 -0.028 2.003 Tc
-5.124 -0.084 6.010 Co
-3.416 -0.056 4.007 Hf
0.000 0.000 0.000 Si
```

Computed properties:
The symmetry is F-43m, No. 216. The total magnetic moment comes out at 0.00 μB/atom.

=====

7.
Below is a relaxed structure of NdTePO, with properties calculated at the PBE level.

```
NdTePO
1.0
3.445 -3.445 0.000
3.445 3.445 0.000
0.000 0.000 7.003
P Nd Te O
2 2 2 2
Cartesian
1.722 0.000 4.535 P
5.167 0.000 2.468 P
5.167 0.000 6.384 Nd
1.722 0.000 0.619 Nd
3.445 1.722 3.502 Te
3.445 -1.722 3.502 Te
3.445 1.722 0.000 O
3.445 -1.722 0.000 O
```

Computed properties:
The symmetry is P4/nmm, No. 129. The total magnetic moment comes out at 0.00 μB/atom.

=====

8.
Below is a relaxed structure of NdHfNO, with properties calculated at the PBE level.

```
NdHfNO
1.0
-4.139 0.286 -0.863
-0.445 -4.144 0.763
-1.589 1.677 8.179
Nd N O Hf
2 2 2 2
Cartesian
-3.458 1.609 6.720 Nd
-0.422 -1.861 1.410 Nd
-2.811 0.926 3.386 N
-1.070 -1.178 4.743 N
0.000 0.000 0.000 O
-2.292 -1.929 -0.050 O
-3.086 -1.091 4.040 Hf
-0.794 0.838 4.090 Hf
```

Computed properties:
The symmetry is P4/nmm, No. 129. The total magnetic moment comes out at 0.00 μB/atom.

=====

| no. | energy (eV for the cell shown) |
| --- | --- |
| 1 | -20.4 |
| 2 | -29.5 |
| 3 | -26.6 |
| 4 | -57.0 |
| 5 | -8.8 |
| 6 | -34.9 |
| 7 | -45.5 |
| 8 | -71.6 |